Density functional theory data (PBE-GGA) for crystalline Ce2ThAg2Au2 at its relaxed geometry.

abc: 8.2566 8.2566 8.2566
angles: 34.43 34.43 34.43
Sites, in units of the cell vectors:
Ce: 0.1401 0.1401 0.1401
Ce: 0.8599 0.8599 0.8599
Th: 0.0000 0.0000 0.0000
Ag: 0.4154 0.4154 0.4154
Ag: 0.5846 0.5846 0.5846
Au: 0.2693 0.2693 0.2693
Au: 0.7307 0.7307 0.7307

Electronic total energy in eV per atom: -4.852
V in A^3/atom: 22.93
SG: R-3m (166)
Formation energy from the elements in eV/atom: -0.346
DOS(E_F) in states/eV per atom: 1.555